First-principles (GGA-PBE) data for crystalline Pu2Ga2Tc2C at its relaxed geometry, as listed in the Alexandria database.

ΔE_f (meV per atom): -161
Mass density (Mg/m³): 11.68
Magnetization (μB per formula unit): 9.53

Cell lengths 11.5064, 3.4436, 6.2404 Å; angles 90.00, 106.06, 90.00 degrees
Space group C2/m (No. 12)
Inequivalent atoms, fractional coordinates:
1 Pu 0.0059 0.0000 0.2807 x4
2 Ga 0.1971 0.5000 0.6249 x4
3 Tc 0.1806 0.5000 0.0774 x4
4 C 0.0000 0.5000 0.0000 x2



First-principles (GGA-PBE) data for crystalline RbGaC3 at its relaxed geometry, as listed in the Alexandria database.

ΔE_f (meV per atom): 4024
Relative energy among the computed polymorphs (meV per atom): 1436
Mass density (Mg/m³): 1.73
Magnetization (μB per formula unit): 8.00

Cell lengths 5.6834, 5.6834, 5.6834 Å; angles 90.00, 90.00, 90.00 degrees
Space group Pm-3m (No. 221)
Inequivalent atoms, fractional coordinates:
1 Rb 0.0000 0.0000 0.0000 x1
2 Ga 0.5000 0.5000 0.5000 x1
3 C 0.0000 0.0000 0.5000 x3



First-principles (GGA-PBE) data for crystalline RbGaC3 at its relaxed geometry, as listed in the Alexandria database.

ΔE_f (meV per atom): 2588
Relative energy among the computed polymorphs (meV per atom): 0
Mass density (Mg/m³): 4.09
Magnetization (μB per formula unit): 0.00

Cell lengths 4.2655, 4.2655, 4.2655 Å; angles 90.00, 90.00, 90.00 degrees
Space group Pm-3m (No. 221)
Inequivalent atoms, fractional coordinates:
1 Rb 0.0000 0.0000 0.0000 x1
2 Ga 0.5000 0.5000 0.5000 x1
3 C 0.0000 0.5000 0.5000 x3



First-principles (GGA-PBE) data for crystalline Rb2GaC2 at its relaxed geometry, as listed in the Alexandria database.

ΔE_f (meV per atom): 686
Relative energy among the computed polymorphs (meV per atom): 89
Mass density (Mg/m³): 3.22
Magnetization (μB per formula unit): 1.00

Cell lengths 6.1592, 6.1592, 7.1969 Å; angles 90.00, 90.00, 90.00 degrees
Space group I4/mmm (No. 139)
Inequivalent atoms, fractional coordinates:
1 Rb 0.0000 0.5000 0.2500 x4
2 Ga 0.0000 0.0000 0.0000 x2
3 C 0.0000 0.0000 0.4113 x4



First-principles (GGA-PBE) data for crystalline RbGa3C at its relaxed geometry, as listed in the Alexandria database.

ΔE_f (meV per atom): 903
Relative energy among the computed polymorphs (meV per atom): 0
Mass density (Mg/m³): 4.51
Magnetization (μB per formula unit): 0.00

Cell lengths 4.8319, 4.8319, 4.8319 Å; angles 90.00, 90.00, 90.00 degrees
Space group Pm-3m (No. 221)
Inequivalent atoms, fractional coordinates:
1 Rb 0.0000 0.0000 0.0000 x1
2 Ga 0.0000 0.5000 0.5000 x3
3 C 0.5000 0.5000 0.5000 x1



First-principles (GGA-PBE) data for crystalline RbGa3C at its relaxed geometry, as listed in the Alexandria database.

ΔE_f (meV per atom): 2396
Relative energy among the computed polymorphs (meV per atom): 1494
Mass density (Mg/m³): 2.04
Magnetization (μB per formula unit): 1.74

Cell lengths 6.2956, 6.2956, 6.2956 Å; angles 90.00, 90.00, 90.00 degrees
Space group Pm-3m (No. 221)
Inequivalent atoms, fractional coordinates:
1 Rb 0.0000 0.0000 0.0000 x1
2 Ga 0.0000 0.0000 0.5000 x3
3 C 0.5000 0.5000 0.5000 x1



First-principles (GGA-PBE) data for crystalline Rb2GaC at its relaxed geometry, as listed in the Alexandria database.

ΔE_f (meV per atom): 613
Relative energy among the computed polymorphs (meV per atom): 0
Mass density (Mg/m³): 2.69
Magnetization (μB per formula unit): 0.28

Cell lengths 13.0236, 13.0236, 3.6833 Å; angles 90.00, 90.00, 90.00 degrees
Space group I-42d (No. 122)
Inequivalent atoms, fractional coordinates:
1 Rb 0.0427 0.7500 0.1250 x8
2 Ga 0.0000 0.0000 0.5000 x4
3 C 0.0000 0.0000 0.0000 x4



First-principles (GGA-PBE) data for crystalline Rb2GaC2 at its relaxed geometry, as listed in the Alexandria database.

ΔE_f (meV per atom): 597
Relative energy among the computed polymorphs (meV per atom): 0
Mass density (Mg/m³): 3.31
Magnetization (μB per formula unit): 0.00

Cell lengths 7.5698, 7.5698, 4.6297 Å; angles 90.00, 90.00, 90.00 degrees
Space group P4/mbm (No. 127)
Inequivalent atoms, fractional coordinates:
1 Rb 0.2064 0.2936 0.0000 x4
2 Ga 0.0000 0.0000 0.5000 x2
3 C 0.0595 0.5595 0.5000 x4



First-principles (GGA-PBE) data for crystalline RbGa2C at its relaxed geometry, as listed in the Alexandria database.

ΔE_f (meV per atom): 735
Mass density (Mg/m³): 4.02
Magnetization (μB per formula unit): 0.00

Cell lengths 7.0843, 7.0843, 7.8094 Å; angles 90.00, 90.00, 90.00 degrees
Space group I-42d (No. 122)
Inequivalent atoms, fractional coordinates:
1 Rb 0.0000 0.0000 0.0000 x4
2 Ga 0.0894 0.2500 0.6250 x8
3 C 0.0000 0.0000 0.5000 x4



First-principles (GGA-PBE) data for crystalline Rb2GaC at its relaxed geometry, as listed in the Alexandria database.

ΔE_f (meV per atom): 1434
Relative energy among the computed polymorphs (meV per atom): 821
Mass density (Mg/m³): 3.17
Magnetization (μB per formula unit): 1.00

Cell lengths 8.0928, 8.0928, 8.0928 Å; angles 90.00, 90.00, 90.00 degrees
Space group Fm-3m (No. 225)
Inequivalent atoms, fractional coordinates:
1 Rb 0.2500 0.2500 0.2500 x8
2 Ga 0.0000 0.0000 0.0000 x4
3 C 0.0000 0.0000 0.5000 x4



First-principles (GGA-PBE) data for crystalline RbGaC2Se at its relaxed geometry, as listed in the Alexandria database.

Electronic total energy (eV per cell): -15.8
Mass density (Mg/m³): 4.15
Magnetization (μB per formula unit): 0.00

Cell lengths 4.3913, 4.3913, 5.3526 Å; angles 90.00, 90.00, 90.00 degrees
Space group P4/mmm (No. 123)
Inequivalent atoms, fractional coordinates:
1 Rb 0.0000 0.0000 0.0000 x1
2 Ga 0.5000 0.5000 0.0000 x1
3 C 0.0000 0.5000 0.5000 x2
4 Se 0.5000 0.5000 0.5000 x1



First-principles (GGA-PBE) data for crystalline RbGaTe2C at its relaxed geometry, as listed in the Alexandria database.

Electronic total energy (eV per cell): -16.6
Mass density (Mg/m³): 4.75
Magnetization (μB per formula unit): 1.01

Cell lengths 6.3862, 6.3862, 3.6188 Å; angles 90.00, 90.00, 90.00 degrees
Space group P4/mmm (No. 123)
Inequivalent atoms, fractional coordinates:
1 Rb 0.0000 0.0000 0.0000 x1
2 Ga 0.5000 0.5000 0.5000 x1
3 Te 0.0000 0.5000 0.5000 x2
4 C 0.5000 0.5000 0.0000 x1



First-principles (GGA-PBE) data for crystalline RbTl2GaC at its relaxed geometry, as listed in the Alexandria database.

ΔE_f (meV per atom): 1815
Mass density (Mg/m³): 4.91
Magnetization (μB per formula unit): 0.05

Cell lengths 6.3607, 6.3607, 4.8142 Å; angles 90.00, 90.00, 90.00 degrees
Space group P4/mmm (No. 123)
Inequivalent atoms, fractional coordinates:
1 Rb 0.0000 0.0000 0.0000 x1
2 Tl 0.0000 0.5000 0.0000 x2
3 Ga 0.5000 0.5000 0.5000 x1
4 C 0.0000 0.0000 0.5000 x1



First-principles (GGA-PBE) data for crystalline RbZrGa2C at its relaxed geometry, as listed in the Alexandria database.

ΔE_f (meV per atom): 1891
Mass density (Mg/m³): 2.72
Magnetization (μB per formula unit): 0.33

Cell lengths 5.2720, 5.2720, 7.2153 Å; angles 90.00, 90.00, 90.00 degrees
Space group P4/mmm (No. 123)
Inequivalent atoms, fractional coordinates:
1 Rb 0.0000 0.0000 0.0000 x1
2 Zr 0.0000 0.0000 0.5000 x1
3 Ga 0.0000 0.5000 0.5000 x2
4 C 0.5000 0.5000 0.0000 x1



First-principles (GGA-PBE) data for crystalline Ga3ReC at its relaxed geometry, as listed in the Alexandria database.

ΔE_f (meV per atom): 1618
Relative energy among the computed polymorphs (meV per atom): 470
Mass density (Mg/m³): 5.92
Magnetization (μB per formula unit): 1.80

Cell lengths 4.8540, 4.8540, 4.8540 Å; angles 90.00, 90.00, 90.00 degrees
Space group Pm-3m (No. 221)
Inequivalent atoms, fractional coordinates:
1 Ga 0.0000 0.0000 0.5000 x3
2 Re 0.0000 0.0000 0.0000 x1
3 C 0.5000 0.5000 0.5000 x1



First-principles (GGA-PBE) data for crystalline GaRe3C at its relaxed geometry, as listed in the Alexandria database.

ΔE_f (meV per atom): 397
Relative energy among the computed polymorphs (meV per atom): 0
Mass density (Mg/m³): 15.53
Magnetization (μB per formula unit): 0.00

Cell lengths 4.0909, 4.0909, 4.0909 Å; angles 90.00, 90.00, 90.00 degrees
Space group Pm-3m (No. 221)
Inequivalent atoms, fractional coordinates:
1 Ga 0.0000 0.0000 0.0000 x1
2 Re 0.0000 0.5000 0.5000 x3
3 C 0.5000 0.5000 0.5000 x1



First-principles (GGA-PBE) data for crystalline GaRe2C at its relaxed geometry, as listed in the Alexandria database.

ΔE_f (meV per atom): 487
Relative energy among the computed polymorphs (meV per atom): 0
Mass density (Mg/m³): 12.93
Magnetization (μB per formula unit): 0.00

Cell lengths 3.0473, 3.0473, 21.7614 Å; angles 90.00, 90.00, 120.00 degrees
Space group R-3m (No. 166, hexagonal axes)
Inequivalent atoms, fractional coordinates:
1 Ga 0.0000 0.0000 0.0000 x3
2 Re 0.0000 0.0000 0.1144 x6
3 C 0.0000 0.0000 0.5000 x3



First-principles (GGA-PBE) data for crystalline GaReC3 at its relaxed geometry, as listed in the Alexandria database.

ΔE_f (meV per atom): 3051
Relative energy among the computed polymorphs (meV per atom): 1360
Mass density (Mg/m³): 8.53
Magnetization (μB per formula unit): 0.00

Cell lengths 3.8449, 3.8449, 3.8449 Å; angles 90.00, 90.00, 90.00 degrees
Space group Pm-3m (No. 221)
Inequivalent atoms, fractional coordinates:
1 Ga 0.0000 0.0000 0.0000 x1
2 Re 0.5000 0.5000 0.5000 x1
3 C 0.0000 0.0000 0.5000 x3



First-principles (GGA-PBE) data for crystalline GaRe2C at its relaxed geometry, as listed in the Alexandria database.

ΔE_f (meV per atom): 1084
Relative energy among the computed polymorphs (meV per atom): 596
Mass density (Mg/m³): 11.22
Magnetization (μB per formula unit): 0.00

Cell lengths 4.7272, 4.7272, 12.0354 Å; angles 90.00, 90.00, 90.00 degrees
Space group I-42d (No. 122)
Inequivalent atoms, fractional coordinates:
1 Ga 0.0000 0.0000 0.0000 x4
2 Re 0.1255 0.2500 0.6250 x8
3 C 0.0000 0.0000 0.5000 x4



First-principles (GGA-PBE) data for crystalline GaRe2C at its relaxed geometry, as listed in the Alexandria database.

ΔE_f (meV per atom): 1224
Relative energy among the computed polymorphs (meV per atom): 737
Mass density (Mg/m³): 15.05
Magnetization (μB per formula unit): 0.00

Cell lengths 5.8524, 5.8524, 5.8524 Å; angles 90.00, 90.00, 90.00 degrees
Space group Fm-3m (No. 225)
Inequivalent atoms, fractional coordinates:
1 Ga 0.0000 0.0000 0.0000 x4
2 Re 0.2500 0.2500 0.2500 x8
3 C 0.0000 0.0000 0.5000 x4